A plane-wave DFT calculation with PBE was carried out for an optimized crystal structure of RbMoI3.

Lattice parameters (Å, degrees): 4.763 10.372 16.535 90.00 90.00 90.00
Sites, in units of the cell vectors:
Rb: 0.013 0.185 0.326
Rb: 0.487 0.815 0.826
Rb: 0.513 0.315 0.674
Rb: 0.987 0.685 0.174
Mo: 0.004 0.414 0.952
Mo: 0.496 0.586 0.452
Mo: 0.504 0.086 0.048
Mo: 0.996 0.914 0.548
I: 0.009 0.026 0.704
I: 0.064 0.416 0.501
I: 0.095 0.274 0.097
I: 0.405 0.726 0.597
I: 0.436 0.584 0.001
I: 0.491 0.974 0.204
I: 0.509 0.474 0.296
I: 0.564 0.084 0.499
I: 0.595 0.226 0.903
I: 0.905 0.774 0.403
I: 0.936 0.916 0.999
I: 0.991 0.526 0.796

- total moment (μB per cell) = 16.0
- E (eV/cell) = -73.64